(1)
AcPrYTh after structural relaxation. Source: Alexandria via LeMat-Bulk, functional PBE-GGA.

Results
Energy, eV per atom: -5.4525
Excess energy over the best structure of this formula in the dataset, meV per atom: 193.6
Calculated formation energy, kcal/mol of atoms: 5.5

abc: 5.899 5.899 5.899
angles: 60.00 60.00 60.00
Fractional coordinates of all 4 atoms:
Pr  0.000  0.000  0.000
Ac  0.500  0.500  0.500
Th  0.250  0.250  0.250
Y  0.750  0.750  0.750

(2)
AcPrYTh after structural relaxation. Source: Alexandria via LeMat-Bulk, functional PBE-GGA.

Results
Energy, eV per atom: -5.6461
Excess energy over the best structure of this formula in the dataset, meV per atom: 0.0
Calculated formation energy, kcal/mol of atoms: 1.1

abc: 3.709 3.709 10.541
angles: 90.00 90.00 90.00
Fractional coordinates of all 4 atoms:
Ac  0.000  0.000  0.077
Y  0.500  0.500  0.342
Th  0.000  0.000  0.567
Pr  0.500  0.500  0.799

(3)
Ac2PrTi after structural relaxation. Source: Alexandria via LeMat-Bulk, functional PBE-GGA.

Results
Energy, eV per atom: -4.6240
Calculated formation energy, kcal/mol of atoms: 13.8

abc: 3.651 3.651 12.852
angles: 81.83 81.83 60.00
Site moments in Bohr magnetons follow the coordinates.
Fractional coordinates of all 4 atoms:
Pr  0.500  0.500  0.500  0.01
Ti  0.000  0.000  0.000  1.46
Ac  0.082  0.082  0.753  0.04
Ac  0.918  0.918  0.247  0.04

(4)
Ac3Pr4Tl4 after structural relaxation. Source: Alexandria via LeMat-Bulk, functional PBE-GGA.

Results
Energy, eV per atom: -3.9506
Calculated formation energy, kcal/mol of atoms: -5.3

abc: 4.861 8.861 10.502
angles: 114.96 103.38 90.00
Fractional coordinates of all 11 atoms:
Pr  0.332  0.135  0.664
Pr  0.332  0.530  0.664
Pr  0.668  0.470  0.336
Pr  0.668  0.865  0.336
Tl  0.500  0.195  0.000
Tl  0.765  0.265  0.531
Tl  0.500  0.805  0.000
Tl  0.235  0.735  0.469
Ac  0.889  0.889  0.778
Ac  0.111  0.111  0.222
Ac  0.000  0.500  0.000

(5)
AcPr4Tl4 after structural relaxation. Source: Alexandria via LeMat-Bulk, functional PBE-GGA.

Results
Energy, eV per atom: -3.8149
Calculated formation energy, kcal/mol of atoms: -4.2

abc: 6.288 9.733 9.733
angles: 90.00 90.00 90.00
Fractional coordinates of all 18 atoms:
Pr  0.620  0.842  0.580
Pr  0.880  0.658  0.920
Pr  0.120  0.920  0.342
Pr  0.120  0.080  0.658
Pr  0.380  0.580  0.158
Pr  0.380  0.420  0.842
Pr  0.620  0.158  0.420
Pr  0.880  0.342  0.080
Tl  0.396  0.215  0.111
Tl  0.104  0.715  0.611
Tl  0.604  0.889  0.215
Tl  0.896  0.389  0.715
Tl  0.604  0.111  0.785
Tl  0.896  0.611  0.285
Tl  0.396  0.785  0.889
Tl  0.104  0.285  0.389
Ac  0.000  0.000  0.000
Ac  0.500  0.500  0.500

(6)
Ac3PrTl2 after structural relaxation. Source: Alexandria via LeMat-Bulk, functional PBE-GGA.

Results
Energy, eV per atom: -3.6637
Excess energy over the best structure of this formula in the dataset, meV per atom: 198.0
Calculated formation energy, kcal/mol of atoms: -0.6

abc: 7.918 8.191 9.800
angles: 114.70 113.83 90.00
Fractional coordinates of all 12 atoms:
Ac  0.500  0.250  0.000
Ac  0.779  0.529  0.558
Ac  0.221  0.471  0.442
Ac  0.221  0.971  0.442
Ac  0.500  0.750  0.000
Ac  0.779  0.029  0.558
Tl  0.432  0.636  0.271
Tl  0.839  0.136  0.271
Tl  0.161  0.864  0.729
Tl  0.568  0.364  0.729
Pr  0.000  0.500  0.000
Pr  0.000  0.000  0.000